ErPb2S4 | PBE-GGA | relaxed

abc: 7.117 7.117 13.379
angles: 90.00 90.00 148.49
Sites, in units of the cell vectors:
1 Er 0.118 0.882 0.750
2 Er 0.882 0.118 0.250
3 Pb 0.369 0.631 0.570
4 Pb 0.369 0.631 0.930
5 Pb 0.631 0.369 0.070
6 Pb 0.631 0.369 0.430
7 S 0.000 0.000 0.000
8 S 0.000 0.000 0.500
9 S 0.291 0.709 0.131
10 S 0.291 0.709 0.369
11 S 0.479 0.521 0.750
12 S 0.521 0.479 0.250
13 S 0.709 0.291 0.631
14 S 0.709 0.291 0.869

Summary:
Its space group is Cmcm, No. 63. The calculation puts the raw formation energy at -0.897 eV per atom.

---

BaGaTe2C | PBE-GGA | relaxed

abc: 5.207 5.207 5.044
angles: 90.00 90.00 90.00
Sites, in units of the cell vectors:
1 Ba 0.000 0.000 0.000
2 Ga 0.500 0.500 0.000
3 Te 0.000 0.500 0.500
4 Te 0.500 0.000 0.500
5 C 0.000 0.000 0.500

Summary:
Its space group is P4/mmm, No. 123. The calculation puts the raw formation energy at 0.413 eV per atom.

---

V7Sb3H2 | PBE-GGA | relaxed

abc: 10.869 10.869 3.932
angles: 90.00 90.00 159.10
Sites, in units of the cell vectors:
1 V 0.000 0.000 0.000
2 V 0.094 0.906 0.500
3 V 0.185 0.815 0.000
4 V 0.407 0.593 0.000
5 V 0.593 0.407 0.000
6 V 0.815 0.185 0.000
7 V 0.906 0.094 0.500
8 Sb 0.313 0.687 0.500
9 Sb 0.500 0.500 0.500
10 Sb 0.687 0.313 0.500
11 H 0.092 0.908 0.000
12 H 0.908 0.092 0.000

Summary:
Its space group is Cmmm, No. 65.

---

LaTlV3 | PBE-GGA | relaxed

abc: 5.154 5.154 5.154
angles: 90.00 90.00 90.00
Sites, in units of the cell vectors:
1 La 0.000 0.000 0.000
2 Tl 0.500 0.500 0.500
3 V 0.000 0.500 0.500
4 V 0.500 0.000 0.500
5 V 0.500 0.500 0.000

Summary:
Its space group is Pm-3m, No. 221. The value obtained for the energy of formation is 1.28 eV/atom. The calculation puts the distance to the lowest polymorph of the same formula at 0.000 eV/f.u.

---

no.,mass density (g cm⁻³),final energy (Ha/atom),total magnetic moment (μB/cell)
1,6.66,-0.183,0.0
2,5.76,-0.135,0.0
3,7.25,-0.257,1.8
4,6.02,-0.207,9.9